Density functional theory data (GGA-PBE) for crystalline AsOs4Pb at its relaxed geometry.

The space group is F-43m (No. 216) and the conventional cell measures 7.497, 7.497 and 7.497 Å, with angles of 90.00, 90.00 and 90.00 degrees. Symmetry generates all atoms from As at (0.000, 0.000, 0.000), Os at (0.126, 0.126, 0.626) and Pb at (0.250, 0.250, 0.250).

The density is 16.44 g/cm3. Its total magnetization is 0.01 μB/f.u. The formation energy is 608 kJ/mol of formula units.


Density functional theory data (GGA-PBE) for crystalline BaPa2PdN4 at its relaxed geometry.

The space group is Cmcm (No. 63) and the conventional cell measures 3.688, 11.931 and 12.013 Å, with angles of 90.00, 90.00 and 90.00 degrees. Symmetry generates all atoms from Ba at (0.000, 0.098, 0.250), Pa at (0.000, 0.365, 0.062), Pd at (0.000, 0.170, 0.750), N at (0.000, 0.000, 0.000), N at (0.000, 0.256, 0.587) and N at (0.000, 0.430, 0.250).

The density is 9.57 g/cm3. Its total magnetization is 0.00 μB/f.u. Its uncorrected formation energy is -1.169 eV per atom.


Density functional theory data (GGA-PBE) for crystalline Cs2RbIn at its relaxed geometry.

The space group is P4/mmm (No. 123) and the conventional cell measures 4.792, 4.792 and 12.270 Å, with angles of 90.00, 90.00 and 90.00 degrees. Symmetry generates all atoms from Cs at (0.000, 0.000, 0.183), Rb at (0.500, 0.500, 0.500) and In at (0.500, 0.500, 0.000).

The density is 2.75 g/cm3. The calculation puts the polymorph energy (0 for the lowest one) at 0.000 eV per atom. Its total magnetization is 0.48 μB/f.u. The formation energy is 27 kJ/mol of formula units.


Density functional theory data (GGA-PBE) for crystalline LaSbH at its relaxed geometry.

The space group is P-6m2 (No. 187) and the conventional cell measures 4.0169, 4.0169 and 4.8880 Å, with angles of 90.00, 90.00 and 120.00 degrees. Symmetry generates all atoms from La at (0.0000, 0.0000, 0.0000), Sb at (0.6667, 0.3333, 0.5000) and H at (0.3333, 0.6667, 0.0000).

The density is 6.36 g/cm3. The calculation puts the polymorph energy (0 for the lowest one) at 0.041 eV per atom. Its total magnetization is 0.00 μB/f.u.


Density functional theory data (GGA-PBE) for crystalline Ag2HCF at its relaxed geometry.

The space group is P4/mmm (No. 123) and the conventional cell measures 4.455, 4.455 and 2.844 Å, with angles of 90.00, 90.00 and 90.00 degrees. Symmetry generates all atoms from Ag at (0.000, 0.500, 0.000), H at (0.000, 0.000, 0.500), C at (0.000, 0.000, 0.000) and F at (0.500, 0.500, 0.500).

The density is 7.29 g/cm3. Its total energy is -3.590 eV per atom. Its total magnetization is 0.00 μB/f.u.


Density functional theory data (GGA-PBE) for crystalline RbCaY3 at its relaxed geometry.

The space group is Pm-3m (No. 221) and the conventional cell measures 6.006, 6.006 and 6.006 Å, with angles of 90.00, 90.00 and 90.00 degrees. Symmetry generates all atoms from Rb at (0.000, 0.000, 0.000), Ca at (0.500, 0.500, 0.500) and Y at (0.000, 0.500, 0.500).

The density is 3.01 g/cm3. The calculation puts the polymorph energy (0 for the lowest one) at 0.000 eV per atom. Its total magnetization is 0.00 μB/f.u. The formation energy is 455 kJ/mol of formula units.


Density functional theory data (GGA-PBE) for crystalline NdSm2In at its relaxed geometry.

The space group is P4/mmm (No. 123) and the conventional cell measures 3.649, 3.649 and 9.452 Å, with angles of 90.00, 90.00 and 90.00 degrees. Symmetry generates all atoms from Nd at (0.000, 0.000, 0.000), Sm at (0.500, 0.500, 0.277) and In at (0.000, 0.000, 0.500).

The density is 7.38 g/cm3. The calculation puts the polymorph energy (0 for the lowest one) at 0.042 eV per atom. Its total magnetization is 0.00 μB/f.u. The formation energy is -88 kJ/mol of formula units.


Density functional theory data (GGA-PBE) for crystalline YSnBi2O6 at its relaxed geometry.

The space group is R3 (No. 146, hexagonal axes) and the conventional cell measures 6.0809, 6.0809 and 14.7179 Å, with angles of 90.00, 90.00 and 120.00 degrees. Symmetry generates all atoms from Y at (0.0000, 0.0000, 0.0000), Sn at (0.0000, 0.0000, 0.5009), Bi at (0.0000, 0.0000, 0.2220), Bi at (0.0000, 0.0000, 0.7204), O at (0.0247, 0.2842, 0.1143) and O at (0.0439, 0.6216, 0.2745).

The density is 7.63 g/cm3. Its total magnetization is 1.02 μB/f.u. Its uncorrected formation energy is -1.742 eV per atom.


Density functional theory data (GGA-PBE) for crystalline LaSc2Fe at its relaxed geometry.

The space group is P2/m (No. 10) and the conventional cell measures 3.468, 4.469 and 6.138 Å, with angles of 90.00, 105.51 and 90.00 degrees. Symmetry generates all atoms from La at (0.000, 0.000, 0.000), Sc at (0.369, 0.500, 0.706) and Fe at (0.000, 0.000, 0.500).

The density is 5.16 g/cm3. The calculation puts the polymorph energy (0 for the lowest one) at 0.263 eV per atom. Its total magnetization is 1.00 μB/f.u. The formation energy is 88 kJ/mol of formula units.


Density functional theory data (GGA-PBE) for crystalline BeSnTeN2 at its relaxed geometry.

The space group is P4/mmm (No. 123) and the conventional cell measures 3.955, 3.955 and 6.895 Å, with angles of 90.00, 90.00 and 90.00 degrees. Symmetry generates all atoms from Be at (0.000, 0.000, 0.000), Sn at (0.500, 0.500, 0.500), Te at (0.500, 0.500, 0.000) and N at (0.000, 0.500, 0.500).

The density is 4.36 g/cm3. The calculation puts the polymorph energy (0 for the lowest one) at 0.151 eV per atom. Its total magnetization is 0.00 μB/f.u. Its uncorrected formation energy is 1.492 eV per atom.


Density functional theory data (GGA-PBE) for crystalline BaMn3 at its relaxed geometry.

The space group is I4/mmm (No. 139) and the conventional cell measures 4.442, 4.442 and 8.737 Å, with angles of 90.00, 90.00 and 90.00 degrees. Symmetry generates all atoms from Ba at (0.000, 0.000, 0.000), Mn at (0.000, 0.000, 0.500) and Mn at (0.000, 0.500, 0.250).

The density is 5.82 g/cm3. The calculation puts the polymorph energy (0 for the lowest one) at 0.405 eV per atom. Its total magnetization is 11.07 μB/f.u. The formation energy is 384 kJ/mol of formula units.


Density functional theory data (GGA-PBE) for crystalline ZrPtI2N at its relaxed geometry.

The space group is P4/mmm (No. 123) and the conventional cell measures 5.813, 5.813 and 3.694 Å, with angles of 90.00, 90.00 and 90.00 degrees. Symmetry generates all atoms from Zr at (0.000, 0.000, 0.000), Pt at (0.500, 0.500, 0.500), I at (0.000, 0.500, 0.500) and N at (0.500, 0.500, 0.000).

The density is 7.37 g/cm3. The calculation puts the polymorph energy (0 for the lowest one) at 0.160 eV per atom. Its total magnetization is 1.90 μB/f.u. Its uncorrected formation energy is 0.582 eV per atom.


Values of density of states at the Fermi level, in order: 10.2, 0.1, 4.8, 1.2, 2.8, 6.9, 3.9, 1.2, 5.7, 5.0, 3.8, 4.7, all in states/eV/f.u..